# 1
The following is a DFT calculation (GGA-PBE) of a relaxed structure of PrDy2ScS6.

Cell and atoms, written as extended XYZ:
```
10
Lattice="3.447 1.990 6.134 -3.447 1.990 6.134 0.000 -3.981 6.134" Properties=species:S:1:pos:R:3 pbc="T T T"
Pr 0.000 0.000 0.000
Dy 0.000 0.000 5.313
Dy 0.000 0.000 14.648
Sc 0.000 0.000 9.001
S -1.982 -0.106 7.260
S -1.292 -1.885 10.270
S 1.083 -1.664 7.260
S -0.986 2.061 10.270
S 0.899 1.770 7.260
S 2.278 -0.177 10.270
```

Output
Space-group type ... R3, No. 146
M_tot ... 0.000 μB per cell
Total energy ... -6.49 eV per atom

---

# 2
The following is a DFT calculation (GGA-PBE) of a relaxed structure of BaCIO2.

Cell and atoms, written as extended XYZ:
```
5
Lattice="4.439 0.000 0.000 0.000 4.439 0.000 0.000 0.000 7.672" Properties=species:S:1:pos:R:3 pbc="T T T"
Ba 0.000 0.000 0.000
C 2.220 2.220 3.836
I 0.000 0.000 3.836
O 0.000 2.220 0.000
O 2.220 0.000 0.000
```

Output
Space-group type ... P4/mmm, No. 123
M_tot ... 1.124 μB per cell
ΔE to the lowest computed polymorph ... 57.7 kJ per mole of atoms

---

# 3
The following is a DFT calculation (GGA-PBE) of a relaxed structure of Fe2RuPt.

Cell and atoms, written as extended XYZ:
```
4
Lattice="1.340 0.774 8.675 -1.340 0.774 8.675 0.000 -1.548 8.675" Properties=species:S:1:pos:R:3 pbc="T T T"
Fe 0.000 0.000 6.463
Fe 0.000 0.000 19.563
Ru 0.000 0.000 13.013
Pt 0.000 0.000 0.000
```

Output
Space-group type ... R-3m, No. 166
Energy of formation ... 11 kJ/mol of formula units
M_tot ... 5.162 μB per cell

---

# 4
The following is a DFT calculation (GGA-PBE) of a relaxed structure of CrSnSe2.

Cell and atoms, written as extended XYZ:
```
8
Lattice="6.808 0.000 0.000 0.000 4.250 0.000 -2.565 0.000 7.364" Properties=species:S:1:pos:R:3 pbc="T T T"
Cr 0.000 0.000 0.000
Cr 0.379 0.000 1.796
Sn -1.091 2.125 4.588
Sn 3.595 2.125 0.907
Se -0.269 0.000 6.553
Se 1.185 2.125 2.641
Se 3.438 2.125 6.519
Se 4.894 0.000 2.616
```

Output
Space-group type ... Pm, No. 6
M_tot ... 0.000 μB per cell
Total energy ... -5.37 eV per atom

---

# 5
The following is a DFT calculation (GGA-PBE) of a relaxed structure of HfIO2F.

Cell and atoms, written as extended XYZ:
```
5
Lattice="4.391 0.000 0.000 0.000 4.391 0.000 0.000 0.000 3.834" Properties=species:S:1:pos:R:3 pbc="T T T"
Hf 0.000 0.000 0.000
I 2.195 2.195 0.000
O 0.000 2.195 1.917
O 2.195 0.000 1.917
F 2.195 2.195 1.917
```

Output
Space-group type ... P4/mmm, No. 123
M_tot ... 0.263 μB per cell
Total energy ... -4.46 eV per atom

---

# 6
The following is a DFT calculation (GGA-PBE) of a relaxed structure of Al2TcBr.

Cell and atoms, written as extended XYZ:
```
4
Lattice="1.586 0.916 8.045 -1.586 0.916 8.045 0.000 -1.831 8.045" Properties=species:S:1:pos:R:3 pbc="T T T"
Al 0.000 0.000 5.832
Al 0.000 0.000 18.304
Tc 0.000 0.000 12.068
Br 0.000 0.000 0.000
```

Output
Space-group type ... R-3m, No. 166
M_tot ... 0.282 μB per cell
ΔE to the lowest computed polymorph ... 13.9 kJ per mole of atoms

---

# 7
The following is a DFT calculation (GGA-PBE) of a relaxed structure of PrNdAlPd.

Cell and atoms, written as extended XYZ:
```
4
Lattice="0.000 3.716 3.716 3.716 0.000 3.716 3.716 3.716 0.000" Properties=species:S:1:pos:R:3 pbc="T T T"
Pr 0.000 0.000 0.000
Nd 3.716 3.716 3.716
Al 1.858 1.858 1.858
Pd 5.573 5.573 5.573
```

Output
Space-group type ... F-43m, No. 216
Energy of formation ... -173 kJ/mol of formula units
M_tot ... 0.000 μB per cell
ΔE to the lowest computed polymorph ... 9.2 kJ per mole of atoms

---

# 8
The following is a DFT calculation (GGA-PBE) of a relaxed structure of FeCu2Ge.

Cell and atoms, written as extended XYZ:
```
4
Lattice="3.597 0.000 0.000 0.000 3.597 0.000 0.000 0.000 3.877" Properties=species:S:1:pos:R:3 pbc="T T T"
Fe 0.000 0.000 0.000
Cu 0.000 1.799 1.939
Cu 1.799 0.000 1.939
Ge 1.799 1.799 0.000
```

Output
Space-group type ... P4/mmm, No. 123
Energy of formation ... 15 kJ/mol of formula units
M_tot ... 2.163 μB per cell

---

# 9
The following is a DFT calculation (GGA-PBE) of a relaxed structure of NaCaMg.

Cell and atoms, written as extended XYZ:
```
6
Lattice="5.494 0.000 0.000 -2.747 4.758 0.000 0.000 0.000 7.536" Properties=species:S:1:pos:R:3 pbc="T T T"
Na 0.000 3.172 3.749
Na 2.747 1.586 3.786
Ca 0.000 0.000 1.738
Ca 0.000 0.000 5.798
Mg 0.000 3.172 7.531
Mg 2.747 1.586 0.005
```

Output
Space-group type ... P-3m1, No. 164
Energy of formation ... 8 kJ/mol of formula units
M_tot ... 0.000 μB per cell
ΔE to the lowest computed polymorph ... 0.0 kJ per mole of atoms

---

# 10
The following is a DFT calculation (GGA-PBE) of a relaxed structure of RbPtBr.

Cell and atoms, written as extended XYZ:
```
6
Lattice="5.838 0.000 0.000 -2.919 5.056 0.000 0.000 0.000 9.604" Properties=species:S:1:pos:R:3 pbc="T T T"
Rb 0.000 3.371 2.401
Rb 2.919 1.685 7.203
Pt 0.000 0.000 0.000
Pt 0.000 0.000 4.802
Br 0.000 0.000 2.401
Br 0.000 0.000 7.203
```

Output
Space-group type ... P6_3/mmc, No. 194
M_tot ... 0.000 μB per cell
ΔE to the lowest computed polymorph ... 42.9 kJ per mole of atoms

---

# 11
The following is a DFT calculation (GGA-PBE) of a relaxed structure of Dy2ErIn2.

Cell and atoms, written as extended XYZ:
```
5
Lattice="-2.436 3.393 4.319 2.436 -3.393 4.319 2.436 3.393 -4.319" Properties=species:S:1:pos:R:3 pbc="T T T"
Dy 0.000 0.000 1.673
Dy 0.000 0.000 6.965
Er 0.000 3.393 0.000
In 2.436 1.448 0.000
In 0.000 1.945 4.319
```

Output
Space-group type ... Immm, No. 71
Energy of formation ... -167 kJ/mol of formula units
M_tot ... 0.001 μB per cell
ΔE to the lowest computed polymorph ... 2.8 kJ per mole of atoms

---

# 12
The following is a DFT calculation (GGA-PBE) of a relaxed structure of NdBi2PtO8.

Cell and atoms, written as extended XYZ:
```
12
Lattice="5.055 0.000 0.000 0.000 6.944 0.000 -0.107 0.000 5.062" Properties=species:S:1:pos:R:3 pbc="T T T"
Nd 0.000 0.000 0.000
Bi 2.474 1.803 2.531
Bi 2.474 5.141 2.531
Pt 0.000 3.472 0.000
O 0.957 1.933 0.926
O 0.957 5.011 0.926
O 1.324 3.472 3.600
O 1.530 0.000 3.399
O 3.417 0.000 1.663
O 3.624 3.472 1.462
O 3.991 1.933 4.136
O 3.991 5.011 4.136
```

Output
Space-group type ... P2/m, No. 10
M_tot ... 0.000 μB per cell
Total energy ... -6.11 eV per atom